(1)
DyTm2Th4: relaxed, PBE-GGA.

abc: 6.843 6.843 13.397
angles: 104.08 104.08 121.65
Positions (direct):
Tm1 0.378 0.622 0.750
Tm2 0.764 0.236 0.750
Tm3 0.622 0.378 0.250
Tm4 0.236 0.764 0.250
Th1 0.289 0.240 0.515
Th2 0.730 0.230 0.000
Th3 0.770 0.270 0.500
Th4 0.760 0.711 0.985
Th5 0.240 0.289 0.015
Th6 0.230 0.730 0.500
Th7 0.270 0.770 0.000
Th8 0.711 0.760 0.485
Dy1 0.909 0.091 0.250
Dy2 0.091 0.909 0.750

Computed properties:
Magnetic moment = 0.000 μB per formula unit
Space-group type = No. 15



(2)
Dy3Tm5Th3: relaxed, PBE-GGA.

abc: 3.393 11.130 11.130
angles: 120.00 90.00 90.00
Positions (direct):
Dy1 0.000 0.407 0.407
Dy2 0.000 0.593 0.000
Dy3 0.000 0.000 0.593
Tm1 0.500 0.333 0.667
Tm2 0.500 0.667 0.333
Tm3 0.500 0.160 0.160
Tm4 0.500 0.000 0.840
Tm5 0.500 0.840 0.000
Th1 0.500 0.662 0.662
Th2 0.500 0.000 0.338
Th3 0.500 0.338 0.000

Computed properties:
Magnetic moment = 0.000 μB per formula unit
Excess energy over the best structure of this formula in the dataset = 0.355 eV/atom
Space-group type = No. 189



(3)
Dy3Tm2Th3: relaxed, PBE-GGA.

abc: 5.026 4.999 10.645
angles: 103.58 103.66 90.00
Positions (direct):
Dy1 0.126 0.126 0.251
Dy2 0.000 0.500 0.000
Dy3 0.874 0.874 0.749
Tm1 0.750 0.250 0.500
Tm2 0.250 0.750 0.500
Th1 0.625 0.625 0.250
Th2 0.375 0.375 0.750
Th3 0.500 0.000 0.000

Computed properties:
Magnetic moment = 0.000 μB per formula unit
Excess energy over the best structure of this formula in the dataset = 0.005 eV/atom
Space-group type = No. 71



(4)
Dy5Tm6Th2: relaxed, PBE-GGA.

abc: 3.528 11.415 20.451
angles: 90.00 90.00 90.00
Positions (direct):
Dy1 0.500 0.308 0.426
Dy2 0.500 0.692 0.574
Dy3 0.500 0.808 0.074
Dy4 0.500 0.192 0.926
Dy5 0.500 0.572 0.292
Dy6 0.500 0.428 0.708
Dy7 0.500 0.072 0.208
Dy8 0.500 0.928 0.792
Dy9 0.500 0.500 0.000
Dy10 0.500 0.000 0.500
Tm1 0.000 0.064 0.354
Tm2 0.000 0.936 0.646
Tm3 0.000 0.564 0.146
Tm4 0.000 0.436 0.854
Tm5 0.500 0.314 0.122
Tm6 0.500 0.686 0.878
Tm7 0.500 0.814 0.378
Tm8 0.500 0.186 0.622
Tm9 0.000 0.577 0.436
Tm10 0.000 0.423 0.564
Tm11 0.000 0.077 0.064
Tm12 0.000 0.923 0.936
Th1 0.000 0.315 0.266
Th2 0.000 0.685 0.734
Th3 0.000 0.815 0.234
Th4 0.000 0.185 0.766

Computed properties:
Magnetic moment = 0.000 μB per formula unit
Space-group type = No. 55



(5)
DyTm6Th: relaxed, PBE-GGA.

abc: 6.648 6.484 6.684
angles: 94.97 60.26 92.55
Positions (direct):
Dy1 0.000 0.000 0.000
Tm1 0.059 0.748 0.517
Tm2 0.558 0.759 0.535
Tm3 0.442 0.241 0.465
Tm4 0.941 0.252 0.483
Tm5 0.529 0.753 0.035
Tm6 0.471 0.247 0.965
Th1 0.000 0.500 0.000

Computed properties:
Magnetic moment = 0.000 μB per formula unit
Excess energy over the best structure of this formula in the dataset = 0.198 eV/atom
Space-group type = No. 2



(6)
Dy3Tm9Th2: relaxed, PBE-GGA.

abc: 3.562 12.948 12.950
angles: 55.95 65.65 65.65
Positions (direct):
Dy1 0.442 0.007 0.008
Dy2 0.928 0.179 0.179
Dy3 0.137 0.775 0.776
Tm1 0.646 0.606 0.606
Tm2 0.290 0.046 0.737
Tm3 0.723 0.876 0.285
Tm4 0.290 0.737 0.046
Tm5 0.724 0.285 0.875
Tm6 0.838 0.913 0.504
Tm7 0.032 0.177 0.446
Tm8 0.839 0.504 0.913
Tm9 0.030 0.446 0.177
Th1 0.541 0.343 0.606
Th2 0.541 0.606 0.342

Computed properties:
Magnetic moment = 0.000 μB per formula unit
Space-group type = No. 1



(7)
Dy6Tm2Th3: relaxed, PBE-GGA.

abc: 5.642 5.642 13.082
angles: 77.55 77.55 60.00
Positions (direct):
Dy1 0.911 0.911 0.268
Dy2 0.089 0.089 0.732
Dy3 0.821 0.821 0.538
Dy4 0.179 0.179 0.462
Dy5 0.636 0.636 0.091
Dy6 0.364 0.364 0.909
Tm1 0.545 0.545 0.364
Tm2 0.455 0.455 0.636
Th1 0.000 0.000 0.000
Th2 0.729 0.729 0.813
Th3 0.271 0.271 0.187

Computed properties:
Magnetic moment = 0.000 μB per formula unit
Space-group type = No. 166



(8)
Dy6Tm2Th: relaxed, PBE-GGA.

abc: 7.340 7.340 7.704
angles: 61.55 61.55 60.00
Positions (direct):
Dy1 0.781 0.264 0.691
Dy2 0.264 0.781 0.691
Dy3 0.264 0.264 0.691
Dy4 0.044 0.616 0.295
Dy5 0.044 0.044 0.295
Dy6 0.616 0.044 0.295
Tm1 0.754 0.754 0.737
Tm2 0.580 0.580 0.261
Th1 0.318 0.318 0.046

Computed properties:
Magnetic moment = 0.000 μB per formula unit
Excess energy over the best structure of this formula in the dataset = 0.352 eV/atom
Space-group type = No. 160



(9)
Dy4TmTh3: relaxed, PBE-GGA.

abc: 5.020 10.064 10.060
angles: 90.00 90.00 90.00
Positions (direct):
Tm1 0.064 0.377 0.000
Tm2 0.564 0.623 0.500
Th1 0.564 0.624 0.000
Th2 0.064 0.623 0.248
Th3 0.564 0.377 0.252
Th4 0.064 0.376 0.500
Th5 0.564 0.377 0.748
Th6 0.064 0.623 0.752
Dy1 0.064 0.870 0.000
Dy2 0.564 0.126 0.000
Dy3 0.064 0.128 0.251
Dy4 0.564 0.872 0.249
Dy5 0.064 0.874 0.500
Dy6 0.564 0.130 0.500
Dy7 0.564 0.872 0.751
Dy8 0.064 0.128 0.749

Computed properties:
Magnetic moment = 0.000 μB per formula unit
Space-group type = No. 59



(10)
Dy8TmTh2: relaxed, PBE-GGA.

abc: 6.620 6.593 8.946
angles: 111.62 99.29 90.00
Positions (direct):
Tm1 0.000 0.000 0.000
Th1 0.335 0.247 0.494
Th2 0.665 0.753 0.506
Dy1 0.599 0.174 0.827
Dy2 0.401 0.347 0.173
Dy3 0.816 0.198 0.395
Dy4 0.184 0.802 0.605
Dy5 0.599 0.653 0.827
Dy6 0.401 0.826 0.173
Dy7 0.096 0.409 0.818
Dy8 0.904 0.591 0.182

Computed properties:
Magnetic moment = 0.000 μB per formula unit
Excess energy over the best structure of this formula in the dataset = 0.000 eV/atom
Space-group type = No. 12



(11)
Dy2Tm3Th4: relaxed, PBE-GGA.

abc: 5.008 7.918 7.949
angles: 107.47 108.36 90.00
Positions (direct):
Dy1 0.333 0.998 0.666
Dy2 0.667 0.002 0.334
Tm1 0.890 0.336 0.780
Tm2 0.110 0.664 0.220
Tm3 0.000 0.000 0.000
Th1 0.558 0.334 0.115
Th2 0.779 0.663 0.558
Th3 0.442 0.666 0.885
Th4 0.221 0.337 0.442

Computed properties:
Magnetic moment = 0.000 μB per formula unit
Excess energy over the best structure of this formula in the dataset = 0.000 eV/atom
Space-group type = No. 12



(12)
Dy2Tm5Th: relaxed, PBE-GGA.

abc: 7.141 7.141 6.664
angles: 105.51 105.51 120.05
Positions (direct):
Dy1 0.234 0.821 0.499
Dy2 0.735 0.322 0.501
Tm1 0.237 0.319 0.500
Tm2 0.319 0.735 0.000
Tm3 0.821 0.237 0.000
Tm4 0.737 0.819 0.500
Tm5 0.319 0.237 0.000
Th1 0.821 0.735 0.000

Computed properties:
Magnetic moment = 0.001 μB per formula unit
Excess energy over the best structure of this formula in the dataset = 0.000 eV/atom
Space-group type = No. 42



(13)
Dy2Tm3Th4: relaxed, PBE-GGA.

abc: 3.586 6.637 14.050
angles: 64.62 90.00 105.67
Positions (direct):
Dy1 0.332 0.663 0.208
Dy2 0.668 0.337 0.792
Tm1 0.385 0.771 0.610
Tm2 0.000 0.000 0.000
Tm3 0.615 0.229 0.390
Th1 0.647 0.294 0.123
Th2 0.126 0.252 0.596
Th3 0.874 0.748 0.404
Th4 0.353 0.706 0.877

Computed properties:
Magnetic moment = 0.000 μB per formula unit
Excess energy over the best structure of this formula in the dataset = 0.112 eV/atom
Space-group type = No. 12



(14)
Dy2Tm2Th: relaxed, PBE-GGA.

abc: 6.021 6.766 11.938
angles: 44.27 104.61 90.00
Positions (direct):
Dy1 0.244 0.029 0.389
Dy2 0.855 0.471 0.611
Dy3 0.756 0.971 0.611
Dy4 0.145 0.529 0.389
Tm1 0.482 0.343 0.810
Tm2 0.328 0.843 0.810
Tm3 0.518 0.657 0.190
Tm4 0.672 0.157 0.190
Th1 0.929 0.750 0.000
Th2 0.071 0.250 0.000

Computed properties:
Magnetic moment = 0.000 μB per formula unit
Excess energy over the best structure of this formula in the dataset = 0.038 eV/atom
Space-group type = No. 15



(15)
DyTmTh2: relaxed, PBE-GGA.

abc: 5.631 5.631 5.631
angles: 60.00 60.00 60.00
Positions (direct):
Tm1 0.000 0.000 0.000
Th1 0.250 0.250 0.250
Th2 0.750 0.750 0.750
Dy1 0.500 0.500 0.500

Computed properties:
Magnetic moment = 0.000 μB per formula unit
Excess energy over the best structure of this formula in the dataset = 0.100 eV/atom
Space-group type = No. 225



(16)
Dy16Tm6Th7: relaxed, PBE-GGA.

abc: 11.208 11.208 11.208
angles: 60.00 60.00 60.00
Positions (direct):
Dy1 0.870 0.870 0.391
Dy2 0.870 0.870 0.870
Dy3 0.870 0.391 0.870
Dy4 0.391 0.870 0.870
Dy5 0.130 0.130 0.130
Dy6 0.130 0.130 0.609
Dy7 0.130 0.609 0.130
Dy8 0.609 0.130 0.130
Dy9 0.651 0.651 0.046
Dy10 0.651 0.651 0.651
Dy11 0.651 0.046 0.651
Dy12 0.046 0.651 0.651
Dy13 0.349 0.349 0.349
Dy14 0.349 0.349 0.954
Dy15 0.349 0.954 0.349
Dy16 0.954 0.349 0.349
Tm1 0.250 0.750 0.250
Tm2 0.750 0.250 0.750
Tm3 0.750 0.250 0.250
Tm4 0.250 0.750 0.750
Tm5 0.750 0.750 0.250
Tm6 0.250 0.250 0.750
Th1 0.000 0.000 0.000
Th2 0.500 0.000 0.500
Th3 0.000 0.500 0.000
Th4 0.000 0.500 0.500
Th5 0.500 0.000 0.000
Th6 0.000 0.000 0.500
Th7 0.500 0.500 0.000

Computed properties:
Magnetic moment = 0.000 μB per formula unit
Space-group type = No. 225



(17)
Dy7TmTh2: relaxed, PBE-GGA.

abc: 3.488 10.209 10.209
angles: 108.47 90.00 90.00
Positions (direct):
Dy1 0.000 0.668 0.332
Dy2 0.000 0.332 0.668
Dy3 0.500 0.131 0.384
Dy4 0.500 0.869 0.616
Dy5 0.500 0.384 0.131
Dy6 0.500 0.616 0.869
Dy7 0.500 0.500 0.500
Tm1 0.000 0.000 0.000
Th1 0.500 0.827 0.173
Th2 0.500 0.173 0.827

Computed properties:
Magnetic moment = 0.000 μB per formula unit
Excess energy over the best structure of this formula in the dataset = 0.000 eV/atom
Space-group type = No. 65



(18)
Dy5Tm4Th4: relaxed, PBE-GGA.

abc: 5.020 9.362 9.362
angles: 85.88 74.45 74.45
Positions (direct):
Dy1 0.694 0.845 0.767
Dy2 0.306 0.155 0.233
Dy3 0.000 0.000 0.000
Dy4 0.539 0.767 0.155
Dy5 0.461 0.233 0.845
Tm1 0.767 0.386 0.079
Tm2 0.233 0.614 0.921
Tm3 0.847 0.921 0.386
Tm4 0.153 0.079 0.614
Th1 0.925 0.460 0.690
Th2 0.615 0.310 0.460
Th3 0.075 0.540 0.310
Th4 0.385 0.690 0.540

Computed properties:
Magnetic moment = 0.000 μB per formula unit
Space-group type = No. 87



(19)
Dy2Tm12Th: relaxed, PBE-GGA.

abc: 6.555 6.555 24.324
angles: 96.70 96.70 115.00
Positions (direct):
Dy1 0.461 0.961 0.281
Dy2 0.961 0.461 0.281
Dy3 0.039 0.539 0.719
Dy4 0.539 0.039 0.719
Tm1 0.606 0.606 0.807
Tm2 0.106 0.106 0.807
Tm3 0.951 0.951 0.933
Tm4 0.148 0.648 0.864
Tm5 0.997 0.997 0.330
Tm6 0.352 0.852 0.136
Tm7 0.684 0.184 0.578
Tm8 0.497 0.497 0.330
Tm9 0.451 0.451 0.933
Tm10 0.549 0.549 0.067
Tm11 0.167 0.167 0.555
Tm12 0.816 0.316 0.422
Tm13 0.003 0.003 0.670
Tm14 0.333 0.333 0.445
Tm15 0.049 0.049 0.067
Tm16 0.833 0.833 0.445
Tm17 0.667 0.667 0.555
Tm18 0.894 0.894 0.193
Tm19 0.184 0.684 0.578
Tm20 0.503 0.503 0.670
Tm21 0.648 0.148 0.864
Tm22 0.394 0.394 0.193
Tm23 0.316 0.816 0.422
Tm24 0.852 0.352 0.136
Th1 0.500 0.000 0.000
Th2 0.000 0.500 0.000

Computed properties:
Magnetic moment = 0.001 μB per formula unit
Space-group type = No. 10



Number 1: energy of formation from the pure elements 1.69 eV per formula unit. Number 2: energy of formation from the pure elements 4.31 eV per formula unit. Number 3: energy of formation from the pure elements 0.33 eV per formula unit. Number 4: energy of formation from the pure elements 1.42 eV per formula unit. Number 5: energy of formation from the pure elements 1.85 eV per formula unit. Number 6: energy of formation from the pure elements 1.34 eV per formula unit. Number 7: energy of formation from the pure elements 1.66 eV per formula unit. Number 8: energy of formation from the pure elements 3.68 eV per formula unit. Number 9: energy of formation from the pure elements 0.22 eV per formula unit. Number 10: energy of formation from the pure elements 2.04 eV per formula unit. Number 11: energy of formation from the pure elements 0.34 eV per formula unit. Number 12: energy of formation from the pure elements 0.09 eV per formula unit. Number 13: energy of formation from the pure elements 1.35 eV per formula unit. Number 14: energy of formation from the pure elements 0.42 eV per formula unit. Number 15: energy of formation from the pure elements 0.52 eV per formula unit. Number 16: energy of formation from the pure elements 8.50 eV per formula unit. Number 17: energy of formation from the pure elements 4.65 eV per formula unit. Number 18: energy of formation from the pure elements 0.41 eV per formula unit. Number 19: energy of formation from the pure elements 1.60 eV per formula unit.